! PBE+U CoCuF2, optimized geometry; values from VASP
! space-group type	R-3m (166)
! Fermi-level density of states	1.2	states/eV/cell
! distance to the lowest polymorph of the same formula	318	meV per atom
&SYSTEM
  ibrav = 0, nat = 4, ntyp = 3
/
ATOMIC_SPECIES
Co 58.93 Co.upf
Cu 63.55 Cu.upf
F 19.00 F.upf
CELL_PARAMETERS angstrom
-4.607 1.297 5.405
-3.506 3.899 4.963
-5.669 2.968 3.342
ATOMIC_POSITIONS angstrom
Co 0.000 0.000 0.000
Cu -6.891 4.082 6.855
F -12.574 7.448 12.508
F -1.208 0.715 1.202